The following is a DFT calculation (PBE) of a relaxed CaCeNd2Hg4 crystal.

Unit cell a=5.4129 b=5.4129 c=9.3954 alpha=73.26 beta=73.26 gamma=60.00
Fractional coordinates of all 8 atoms:
1 Hg 0.6245 0.6245 0.1265
2 Ca 0.0000 0.0000 0.0000
3 Ce 0.5000 0.5000 0.5000
4 Hg 0.8749 0.8749 0.3752
5 Hg 0.3755 0.3755 0.8735
6 Nd 0.7481 0.7481 0.7557
7 Nd 0.2519 0.2519 0.2443
8 Hg 0.1251 0.1251 0.6248

Calculated values
Spin magnetization: 1.57 μB per formula unit
DOS(E_F): 1.6381 states/eV/atom
Symmetry: R-3m, No. 166
Energy relative to the elements: -455 meV/atom

=====

The following is a DFT calculation (PBE) of a relaxed CaCe2Hg4Pb crystal.

Unit cell a=5.3594 b=5.3594 c=9.3202 alpha=73.29 beta=73.29 gamma=60.00
Fractional coordinates of all 8 atoms:
1 Ce 0.2561 0.2561 0.2316
2 Hg 0.3801 0.3801 0.8596
3 Ca 0.5000 0.5000 0.5000
4 Ce 0.7439 0.7439 0.7684
5 Pb 0.0000 0.0000 0.0000
6 Hg 0.8685 0.8685 0.3945
7 Hg 0.1315 0.1315 0.6055
8 Hg 0.6199 0.6199 0.1404

Calculated values
Spin magnetization: 2.07 μB per formula unit
DOS(E_F): 2.0524 states/eV/atom
Symmetry: R-3m, No. 166
Energy relative to the elements: -385 meV/atom

=====

The following is a DFT calculation (PBE) of a relaxed CaCeHgPb crystal.

Unit cell a=5.4902 b=5.4902 c=5.4902 alpha=60.00 beta=60.00 gamma=60.00
Fractional coordinates of all 4 atoms:
1 Ce 0.0000 0.0000 0.0000
2 Ca 0.5000 0.5000 0.5000
3 Pb 0.2500 0.2500 0.2500
4 Hg 0.7500 0.7500 0.7500

Calculated values
Spin magnetization: 1.33 μB per formula unit
DOS(E_F): 2.1293 states/eV/atom
Symmetry: F-43m, No. 216
Energy relative to the elements: -459 meV/atom

=====

The following is a DFT calculation (PBE) of a relaxed CaCeHgPd crystal.

Unit cell a=5.2095 b=5.2095 c=5.2095 alpha=60.00 beta=60.00 gamma=60.00
Fractional coordinates of all 4 atoms:
1 Hg 0.5000 0.5000 0.5000
2 Pd 0.0000 0.0000 0.0000
3 Ca 0.7500 0.7500 0.7500
4 Ce 0.2500 0.2500 0.2500

Calculated values
Spin magnetization: 0.85 μB per formula unit
DOS(E_F): 2.1644 states/eV/atom
Symmetry: F-43m, No. 216
Energy relative to the elements: -500 meV/atom

=====

The following is a DFT calculation (PBE) of a relaxed CaCe2PmHg4 crystal.

Unit cell a=5.3998 b=5.3998 c=9.3698 alpha=73.25 beta=73.25 gamma=60.00
Fractional coordinates of all 8 atoms:
1 Hg 0.3751 0.3751 0.8747
2 Ca 0.0000 0.0000 0.0000
3 Hg 0.1247 0.1247 0.6258
4 Hg 0.6249 0.6249 0.1253
5 Ce 0.7492 0.7492 0.7523
6 Pm 0.5000 0.5000 0.5000
7 Ce 0.2508 0.2508 0.2477
8 Hg 0.8753 0.8753 0.3742

Calculated values
Spin magnetization: 2.63 μB per formula unit
DOS(E_F): 2.4853 states/eV/atom
Symmetry: R-3m, No. 166
Energy relative to the elements: -406 meV/atom

=====

The following is a DFT calculation (PBE) of a relaxed Ca2CePmHg4 crystal.

Unit cell a=5.3794 b=5.3794 c=9.3153 alpha=73.22 beta=73.22 gamma=60.00
Fractional coordinates of all 8 atoms:
1 Ca 0.7497 0.7497 0.7508
2 Hg 0.1246 0.1246 0.6261
3 Hg 0.6250 0.6250 0.1250
4 Ce 0.5000 0.5000 0.5000
5 Hg 0.8754 0.8754 0.3739
6 Ca 0.2503 0.2503 0.2492
7 Pm 0.0000 0.0000 0.0000
8 Hg 0.3750 0.3750 0.8750

Calculated values
Spin magnetization: 0.92 μB per formula unit
DOS(E_F): 1.5663 states/eV/atom
Symmetry: R-3m, No. 166
Energy relative to the elements: -491 meV/atom

=====

The following is a DFT calculation (PBE) of a relaxed CaCePr2Hg4 crystal.

Unit cell a=5.4346 b=5.4346 c=9.4291 alpha=73.25 beta=73.25 gamma=60.00
Fractional coordinates of all 8 atoms:
1 Ca 0.0000 0.0000 0.0000
2 Pr 0.2519 0.2519 0.2443
3 Hg 0.3756 0.3756 0.8732
4 Hg 0.8748 0.8748 0.3757
5 Ce 0.5000 0.5000 0.5000
6 Hg 0.6244 0.6244 0.1268
7 Pr 0.7481 0.7481 0.7557
8 Hg 0.1252 0.1252 0.6243

Calculated values
Spin magnetization: 1.62 μB per formula unit
DOS(E_F): 1.6499 states/eV/atom
Symmetry: R-3m, No. 166
Energy relative to the elements: -455 meV/atom

=====

The following is a DFT calculation (PBE) of a relaxed CaCeHgPt crystal.

Unit cell a=5.1745 b=5.1745 c=5.1745 alpha=60.00 beta=60.00 gamma=60.00
Fractional coordinates of all 4 atoms:
1 Hg 0.2500 0.2500 0.2500
2 Pt 0.7500 0.7500 0.7500
3 Ce 0.0000 0.0000 0.0000
4 Ca 0.5000 0.5000 0.5000

Calculated values
Spin magnetization: 0.79 μB per formula unit
DOS(E_F): 1.9225 states/eV/atom
Symmetry: F-43m, No. 216
Energy relative to the elements: -659 meV/atom

=====

The following is a DFT calculation (PBE) of a relaxed CaCeHgRh crystal.

Unit cell a=5.1279 b=5.1279 c=5.1279 alpha=60.00 beta=60.00 gamma=60.00
Fractional coordinates of all 4 atoms:
1 Ce 0.2500 0.2500 0.2500
2 Rh 0.0000 0.0000 0.0000
3 Ca 0.7500 0.7500 0.7500
4 Hg 0.5000 0.5000 0.5000

Calculated values
Spin magnetization: 0.58 μB per formula unit
DOS(E_F): 1.8468 states/eV/atom
Symmetry: F-43m, No. 216
Energy relative to the elements: -411 meV/atom

=====

The following is a DFT calculation (PBE) of a relaxed CaCeHgRu crystal.

Unit cell a=5.0938 b=5.0938 c=5.0938 alpha=60.00 beta=60.00 gamma=60.00
Fractional coordinates of all 4 atoms:
1 Ca 0.0000 0.0000 0.0000
2 Ru 0.7500 0.7500 0.7500
3 Hg 0.2500 0.2500 0.2500
4 Ce 0.5000 0.5000 0.5000

Calculated values
Spin magnetization: 0.32 μB per formula unit
DOS(E_F): 1.5618 states/eV/atom
Symmetry: F-43m, No. 216
Energy relative to the elements: -130 meV/atom

=====

The following is a DFT calculation (PBE) of a relaxed CaCeSm2Hg4 crystal.

Unit cell a=5.3757 b=5.3757 c=9.3416 alpha=73.28 beta=73.28 gamma=60.00
Fractional coordinates of all 8 atoms:
1 Hg 0.6246 0.6246 0.1263
2 Hg 0.3754 0.3754 0.8737
3 Ca 0.0000 0.0000 0.0000
4 Sm 0.7482 0.7482 0.7555
5 Ce 0.5000 0.5000 0.5000
6 Hg 0.8753 0.8753 0.3741
7 Hg 0.1247 0.1247 0.6259
8 Sm 0.2518 0.2518 0.2445

Calculated values
Spin magnetization: 1.44 μB per formula unit
DOS(E_F): 1.6096 states/eV/atom
Symmetry: R-3m, No. 166
Energy relative to the elements: -454 meV/atom

=====

The following is a DFT calculation (PBE) of a relaxed CaCe2SmHg4 crystal.

Unit cell a=5.3952 b=5.3952 c=9.3535 alpha=73.24 beta=73.24 gamma=60.00
Fractional coordinates of all 8 atoms:
1 Hg 0.1251 0.1251 0.6247
2 Ce 0.2508 0.2508 0.2476
3 Hg 0.8749 0.8749 0.3753
4 Ce 0.7492 0.7492 0.7524
5 Hg 0.6246 0.6246 0.1261
6 Sm 0.5000 0.5000 0.5000
7 Hg 0.3754 0.3754 0.8739
8 Ca 0.0000 0.0000 0.0000

Calculated values
Spin magnetization: 2.53 μB per formula unit
DOS(E_F): 2.4917 states/eV/atom
Symmetry: R-3m, No. 166
Energy relative to the elements: -406 meV/atom

=====

The following is a DFT calculation (PBE) of a relaxed Ca2CeSmHg4 crystal.

Unit cell a=5.3727 b=5.3727 c=9.3042 alpha=73.22 beta=73.22 gamma=60.00
Fractional coordinates of all 8 atoms:
1 Sm 0.0000 0.0000 0.0000
2 Ce 0.5000 0.5000 0.5000
3 Hg 0.8757 0.8757 0.3728
4 Ca 0.2503 0.2503 0.2490
5 Hg 0.3747 0.3747 0.8760
6 Hg 0.6253 0.6253 0.1240
7 Hg 0.1243 0.1243 0.6272
8 Ca 0.7497 0.7497 0.7510

Calculated values
Spin magnetization: 0.93 μB per formula unit
DOS(E_F): 1.5662 states/eV/atom
Symmetry: R-3m, No. 166
Energy relative to the elements: -489 meV/atom

=====

The following is a DFT calculation (PBE) of a relaxed CaCeSnHg crystal.

Unit cell a=5.4333 b=5.4333 c=5.4333 alpha=60.00 beta=60.00 gamma=60.00
Fractional coordinates of all 4 atoms:
1 Hg 0.7500 0.7500 0.7500
2 Sn 0.2500 0.2500 0.2500
3 Ce 0.0000 0.0000 0.0000
4 Ca 0.5000 0.5000 0.5000

Calculated values
Spin magnetization: 1.27 μB per formula unit
DOS(E_F): 2.0197 states/eV/atom
Symmetry: F-43m, No. 216
Energy relative to the elements: -542 meV/atom

=====

The following is a DFT calculation (PBE) of a relaxed SrCa2CeHg4 crystal.

Unit cell a=5.4539 b=5.4539 c=9.4733 alpha=73.27 beta=73.27 gamma=60.00
Fractional coordinates of all 8 atoms:
1 Ca 0.7498 0.7498 0.7507
2 Ce 0.5000 0.5000 0.5000
3 Hg 0.6214 0.6214 0.1359
4 Hg 0.1275 0.1275 0.6176
5 Hg 0.8725 0.8725 0.3824
6 Hg 0.3786 0.3786 0.8641
7 Ca 0.2502 0.2502 0.2493
8 Sr 0.0000 0.0000 0.0000

Calculated values
Spin magnetization: 1.08 μB per formula unit
DOS(E_F): 1.5727 states/eV/atom
Symmetry: R-3m, No. 166
Energy relative to the elements: -484 meV/atom

=====

The following is a DFT calculation (PBE) of a relaxed SrCaCe2Hg4 crystal.

Unit cell a=5.4541 b=5.4541 c=9.4716 alpha=73.27 beta=73.27 gamma=60.00
Fractional coordinates of all 8 atoms:
1 Hg 0.8736 0.8736 0.3793
2 Sr 0.0000 0.0000 0.0000
3 Ca 0.5000 0.5000 0.5000
4 Hg 0.6226 0.6226 0.1321
5 Hg 0.3774 0.3774 0.8679
6 Ce 0.2485 0.2485 0.2545
7 Hg 0.1264 0.1264 0.6207
8 Ce 0.7515 0.7515 0.7455

Calculated values
Spin magnetization: 1.93 μB per formula unit
DOS(E_F): 2.3506 states/eV/atom
Symmetry: R-3m, No. 166
Energy relative to the elements: -408 meV/atom

=====

The following is a DFT calculation (PBE) of a relaxed CaCe4Ho crystal.

Unit cell a=6.4381 b=6.4381 c=6.4381 alpha=60.00 beta=60.00 gamma=60.00
Fractional coordinates of all 6 atoms:
1 Ca 0.2500 0.2500 0.2500
2 Ce 0.1028 0.6324 0.6324
3 Ho 0.0000 0.0000 0.0000
4 Ce 0.6324 0.1028 0.6324
5 Ce 0.6324 0.6324 0.1028
6 Ce 0.6324 0.6324 0.6324

Calculated values
Spin magnetization: 4.80 μB per formula unit
DOS(E_F): 2.9842 states/eV/atom
Symmetry: F-43m, No. 216
Energy relative to the elements: 254 meV/atom

=====

The following is a DFT calculation (PBE) of a relaxed CaCe2Ho crystal.

Unit cell a=3.4254 b=3.4254 c=12.7854 alpha=82.30 beta=82.30 gamma=60.00
Fractional coordinates of all 4 atoms:
1 Ce 0.0895 0.0895 0.7316
2 Ca 0.0000 0.0000 0.0000
3 Ho 0.5000 0.5000 0.5000
4 Ce 0.9105 0.9105 0.2684

Calculated values
Spin magnetization: 1.78 μB per formula unit
DOS(E_F): 2.9631 states/eV/atom
Symmetry: R-3m, No. 166
Energy relative to the elements: 246 meV/atom

=====

The following is a DFT calculation (PBE) of a relaxed CaCeHo2In4 crystal.

Unit cell a=5.3589 b=5.3589 c=9.3852 alpha=73.41 beta=73.41 gamma=60.00
Fractional coordinates of all 8 atoms:
1 Ce 0.5000 0.5000 0.5000
2 In 0.8753 0.8753 0.3742
3 Ho 0.7483 0.7483 0.7550
4 Ca 0.0000 0.0000 0.0000
5 In 0.6252 0.6252 0.1243
6 In 0.3748 0.3748 0.8757
7 Ho 0.2517 0.2517 0.2450
8 In 0.1247 0.1247 0.6258

Calculated values
Spin magnetization: 0.88 μB per formula unit
DOS(E_F): 1.1461 states/eV/atom
Symmetry: R-3m, No. 166
Energy relative to the elements: -420 meV/atom

=====

The following is a DFT calculation (PBE) of a relaxed CaCeHoIn crystal.

Unit cell a=5.5415 b=5.5415 c=5.5415 alpha=60.00 beta=60.00 gamma=60.00
Fractional coordinates of all 4 atoms:
1 In 0.2500 0.2500 0.2500
2 Ca 0.5000 0.5000 0.5000
3 Ce 0.0000 0.0000 0.0000
4 Ho 0.7500 0.7500 0.7500

Calculated values
Spin magnetization: 1.69 μB per formula unit
DOS(E_F): 2.3011 states/eV/atom
Symmetry: F-43m, No. 216
Energy relative to the elements: -20 meV/atom

=====

The following is a DFT calculation (PBE) of a relaxed CaLaCeHo crystal.

Unit cell a=5.8441 b=5.8441 c=5.8441 alpha=60.00 beta=60.00 gamma=60.00
Fractional coordinates of all 4 atoms:
1 Ce 0.7500 0.7500 0.7500
2 Ho 0.0000 0.0000 0.0000
3 Ca 0.2500 0.2500 0.2500
4 La 0.5000 0.5000 0.5000

Calculated values
Spin magnetization: 2.17 μB per formula unit
DOS(E_F): 2.8625 states/eV/atom
Symmetry: F-43m, No. 216
Energy relative to the elements: 245 meV/atom

=====

The following is a DFT calculation (PBE) of a relaxed CaCeHoMg crystal.

Unit cell a=5.6146 b=5.6146 c=5.6146 alpha=60.00 beta=60.00 gamma=60.00
Fractional coordinates of all 4 atoms:
1 Ce 0.2500 0.2500 0.2500
2 Ho 0.5000 0.5000 0.5000
3 Ca 0.7500 0.7500 0.7500
4 Mg 0.0000 0.0000 0.0000

Calculated values
Spin magnetization: 1.26 μB per formula unit
DOS(E_F): 2.4057 states/eV/atom
Symmetry: F-43m, No. 216
Energy relative to the elements: 179 meV/atom

=====

The following is a DFT calculation (PBE) of a relaxed Ca3Ce2HoN6 crystal.

Unit cell a=6.1274 b=6.1274 c=6.0905 alpha=99.60 beta=99.60 gamma=120.06
Fractional coordinates of all 12 atoms:
1 Ca 0.5000 0.5000 0.5000
2 N 0.9250 0.5885 0.7765
3 Ho 0.0000 0.0000 0.0000
4 Ca 0.8350 0.1650 0.5000
5 N 0.4115 0.0750 0.2235
6 Ca 0.1650 0.8350 0.5000
7 N 0.7379 0.7379 0.2239
8 N 0.2621 0.2621 0.7761
9 N 0.0750 0.4115 0.2235
10 Ce 0.3333 0.6667 0.0000
11 Ce 0.6667 0.3333 0.0000
12 N 0.5885 0.9250 0.7765

Calculated values
Spin magnetization: 1.10 μB per formula unit
Formation energy without anion corrections: -119.4 kJ/mol of atoms
DOS(E_F): 1.0778 states/eV/atom
Symmetry: C2/m, No. 12

=====

The following is a DFT calculation (PBE) of a relaxed CaCeHo2N4 crystal.

Unit cell a=3.5119 b=6.0021 c=6.0429 alpha=108.50 beta=90.00 gamma=90.00
Fractional coordinates of all 8 atoms:
1 Ho 0.0000 0.5000 0.5000
2 Ce 0.0000 0.0000 0.0000
3 N 0.0000 0.7696 0.2562
4 Ca 0.5000 0.5000 0.0000
5 Ho 0.5000 0.0000 0.5000
6 N 0.0000 0.2304 0.7438
7 N 0.5000 0.2468 0.2575
8 N 0.5000 0.7532 0.7425

Calculated values
Spin magnetization: 0.00 μB per formula unit
Formation energy without anion corrections: -144.3 kJ/mol of atoms
Symmetry: P2/m, No. 10

=====

The following is a DFT calculation (PBE) of a relaxed CaCe2HoN4 crystal.

Unit cell a=3.5452 b=6.0719 c=6.1480 alpha=70.47 beta=90.00 gamma=90.00
Fractional coordinates of all 8 atoms:
1 N 0.0000 0.2330 0.2650
2 Ho 0.0000 0.5000 0.5000
3 Ce 0.5000 0.0000 0.5000
4 Ca 0.5000 0.5000 0.0000
5 Ce 0.0000 0.0000 0.0000
6 N 0.0000 0.7670 0.7350
7 N 0.5000 0.7533 0.2576
8 N 0.5000 0.2467 0.7424

Calculated values
Spin magnetization: 0.65 μB per formula unit
Formation energy without anion corrections: -139.3 kJ/mol of atoms
DOS(E_F): 0.5899 states/eV/atom
Symmetry: P2/m, No. 10

=====

The following is a DFT calculation (PBE) of a relaxed CaCeNdHo crystal.

Unit cell a=5.8040 b=5.8040 c=5.8040 alpha=60.00 beta=60.00 gamma=60.00
Fractional coordinates of all 4 atoms:
1 Ce 0.0000 0.0000 0.0000
2 Ho 0.7500 0.7500 0.7500
3 Ca 0.5000 0.5000 0.5000
4 Nd 0.2500 0.2500 0.2500

Calculated values
Spin magnetization: 2.16 μB per formula unit
DOS(E_F): 2.6962 states/eV/atom
Symmetry: F-43m, No. 216
Energy relative to the elements: 241 meV/atom